Compound: ZnSi2Pb
Source: Alexandria via LeMat-Bulk
Functional: SCAN
Structure: PBEsol geometry

Computed properties:
formation energy (no corrections)	794	meV/atom
final energy	-26.538	eV per atom

Cell lengths 6.7913, 6.7913, 6.7913 Å; angles 90.00, 90.00, 90.00 degrees
Space group Fm-3m (No. 225)
Asymmetric unit:
Zn1 0.0000 0.0000 0.0000 x4
Si1 0.2500 0.2500 0.2500 x8
Pb1 0.0000 0.0000 0.5000 x4